No. 1
# IrOs SCAN single point on PBEsol structure
data_IrOs
_symmetry_space_group_name_H-M 'P m -3 m'
_symmetry_Int_Tables_number 221
_symmetry_space_group_name_Hall '-P 4 2 3'
_cell_length_a 3.072
_cell_length_b 3.072
_cell_length_c 3.072
_cell_angle_alpha 90.00
_cell_angle_beta 90.00
_cell_angle_gamma 90.00
loop_
_atom_site_label
_atom_site_fract_x
_atom_site_fract_y
_atom_site_fract_z
Ir1 0.000 0.000 0.000
Os1 0.500 0.500 0.500
# * final energy: -70.640 eV per atom
# * theoretical density: 21.9 g/cm³
# * formation energy: 0.85 eV per atom



No. 2
# IrOs SCAN single point on PBEsol structure
data_IrOs
_symmetry_space_group_name_H-M 'P 63/m m c'
_symmetry_Int_Tables_number 194
_symmetry_space_group_name_Hall '-P 6c 2c'
_cell_length_a 3.8053
_cell_length_b 3.8053
_cell_length_c 5.2916
_cell_angle_alpha 90.00
_cell_angle_beta 90.00
_cell_angle_gamma 120.00
loop_
_atom_site_label
_atom_site_fract_x
_atom_site_fract_y
_atom_site_fract_z
Ir1 0.0000 0.0000 0.0000
Os1 0.3333 0.6667 0.2500
# * final energy: -70.576 eV per atom
# * theoretical density: 19.1 g/cm³
# * formation energy: 0.91 eV per atom



No. 3
# Ir2Os SCAN single point on PBEsol structure
data_Ir2Os
_symmetry_space_group_name_H-M 'I 41/a m d'
_symmetry_Int_Tables_number 141
_cell_length_a 3.826
_cell_length_b 3.826
_cell_length_c 22.974
_cell_angle_alpha 90.00
_cell_angle_beta 90.00
_cell_angle_gamma 90.00
loop_
_symmetry_equiv_pos_as_xyz
'x,y,z'
'-x,-y,-z'
'-y+1/4,x+3/4,z+1/4'
'y+1/4,-x+3/4,-z+1/4'
'-x+1/2,-y,z+1/2'
'x+1/2,y,-z+1/2'
'y+1/4,-x+1/4,z+3/4'
'-y+1/4,x+1/4,-z+3/4'
'x,-y,-z'
'-x,y,z'
'-y+1/4,-x+1/4,-z+3/4'
'y+1/4,x+1/4,z+3/4'
'-x+1/2,y,-z+1/2'
'x+1/2,-y,z+1/2'
'y+1/4,x+3/4,-z+1/4'
'-y+1/4,-x+3/4,z+1/4'
'x+1/2,y+1/2,z+1/2'
'-x+1/2,-y+1/2,-z+1/2'
'-y+3/4,x+1/4,z+3/4'
'y+3/4,-x+1/4,-z+3/4'
'-x,-y+1/2,z'
'x,y+1/2,-z'
'y+3/4,-x+3/4,z+1/4'
'-y+3/4,x+3/4,-z+1/4'
'x+1/2,-y+1/2,-z+1/2'
'-x+1/2,y+1/2,z+1/2'
'-y+3/4,-x+3/4,-z+1/4'
'y+3/4,x+3/4,z+1/4'
'-x,y+1/2,-z'
'x,-y+1/2,z'
'y+3/4,x+1/4,-z+3/4'
'-y+3/4,-x+1/4,z+3/4'
loop_
_atom_site_label
_atom_site_fract_x
_atom_site_fract_y
_atom_site_fract_z
Ir1 0.000 0.250 0.123
Ir2 0.000 0.250 0.791
Os1 0.000 0.250 0.290
# * final energy: -71.346 eV per atom
# * theoretical density: 22.7 g/cm³
# * formation energy: 0.01 eV per atom



No. 4
# Ir8Os SCAN single point on PBEsol structure
data_Ir8Os
_symmetry_space_group_name_H-M 'I 4/m m m'
_symmetry_Int_Tables_number 139
_symmetry_space_group_name_Hall '-I 4 2'
_cell_length_a 8.124
_cell_length_b 8.124
_cell_length_c 3.828
_cell_angle_alpha 90.00
_cell_angle_beta 90.00
_cell_angle_gamma 90.00
loop_
_atom_site_label
_atom_site_fract_x
_atom_site_fract_y
_atom_site_fract_z
Ir1 0.000 0.332 0.000
Ir2 0.164 0.164 0.500
Os1 0.000 0.000 0.000
# * final energy: -71.195 eV per atom
# * theoretical density: 22.7 g/cm³
# * formation energy: -0.01 eV per atom